BaCoSO | PBE+U | optimized geometry

a = 6.702 Å, b = 6.702 Å, c = 6.144 Å
α = 90.00°, β = 90.00°, γ = 145.17°
Site moments in Bohr magnetons follow the coordinates.
Element x y z (fractional)
1 S 0.308 0.692 0.750  -0.07
2 O 0.000 0.000 0.000  -0.16
3 Co 0.904 0.096 0.750  -2.60
4 O 0.000 0.000 0.500  -0.16
5 Ba 0.387 0.613 0.250  -0.01
6 Ba 0.613 0.387 0.750  -0.01
7 S 0.692 0.308 0.250  -0.07
8 Co 0.096 0.904 0.250  -2.60

Output
Total energy ... -5.58 eV/atom
Size of the total moment ... 0.750 μB/atom